The following is a PBE+U calculation of LiFeBO3 after structural relaxation, from Alexandria via LeMat-Bulk.

The structure in POSCAR format:
```
LiFeBO3
1.0
5.822 0.000 0.000
1.647 6.856 0.000
0.630 0.017 7.441
Li Fe B O
4 4 4 12
Direct
0.006 0.315 0.266
0.375 0.223 0.819
0.625 0.777 0.181
0.994 0.685 0.734
0.243 0.556 0.048
0.276 0.945 0.464
0.724 0.055 0.536
0.757 0.444 0.952
0.068 0.707 0.339
0.460 0.805 0.813
0.540 0.195 0.187
0.932 0.293 0.661
0.021 0.200 0.500
0.054 0.390 0.764
0.263 0.730 0.845
0.298 0.721 0.275
0.335 0.269 0.098
0.452 0.959 0.691
0.548 0.041 0.309
0.665 0.731 0.902
0.702 0.279 0.725
0.737 0.270 0.155
0.946 0.610 0.236
0.979 0.800 0.500
```

Results
- Distance to the lowest polymorph of the same formula: 62 meV/atom
- Energy: -164.450 eV/cell
- SG: No. 2
- D(E_F): 0.000 states/eV/f.u.